Density functional theory data (PBE-GGA) for crystalline SrHo2Zn6 at its relaxed geometry.

Lattice parameters (Å, degrees): 7.8773 7.8773 3.5632 90.00 90.00 120.00
Space group P6/mmm (No. 191)
One atom of each set of equivalent atoms:
Sr 0.0000 0.0000 0.0000
Ho 0.3333 0.6667 0.0000
Zn 0.0000 0.3392 0.5000

Summary:
- formation enthalpy at 0 K (eV per atom) = -0.292